one.
VTe3P | PBE-GGA | relaxed

Calculated values
Space-group type: No. 221
Spin magnetization in μB/f.u.: 0.08

a = 5.107 Å, b = 5.107 Å, c = 5.107 Å
α = 90.00°, β = 90.00°, γ = 90.00°
Sites, in units of the cell vectors:
V1 0.000 0.000 0.000
Te1 0.000 0.000 0.500
Te2 0.000 0.500 0.000
Te3 0.500 0.000 0.000
P1 0.500 0.500 0.500

=====

two.
VTe3P | PBE-GGA | relaxed

Calculated values
Space-group type: No. 221
Spin magnetization in μB/f.u.: 2.76

a = 5.197 Å, b = 5.197 Å, c = 5.197 Å
α = 90.00°, β = 90.00°, γ = 90.00°
Sites, in units of the cell vectors:
V1 0.000 0.000 0.000
Te1 0.000 0.500 0.500
Te2 0.500 0.000 0.500
Te3 0.500 0.500 0.000
P1 0.500 0.500 0.500

=====

one (10.4 kJ/mol of atoms below the next structure)

=====

one.
V2TeP | PBE-GGA | relaxed

Calculated values
Space-group type: No. 225
Spin magnetization in μB/f.u.: 1.36

a = 6.276 Å, b = 6.276 Å, c = 6.276 Å
α = 90.00°, β = 90.00°, γ = 90.00°
Sites, in units of the cell vectors:
V1 0.250 0.250 0.250
V2 0.250 0.250 0.750
V3 0.250 0.750 0.250
V4 0.250 0.750 0.750
V5 0.750 0.250 0.250
V6 0.750 0.250 0.750
V7 0.750 0.750 0.250
V8 0.750 0.750 0.750
Te1 0.000 0.000 0.000
Te2 0.000 0.500 0.500
Te3 0.500 0.000 0.500
Te4 0.500 0.500 0.000
P1 0.000 0.000 0.500
P2 0.000 0.500 0.000
P3 0.500 0.000 0.000
P4 0.500 0.500 0.500

=====

two.
V2TeP | PBE-GGA | relaxed

Calculated values
Space-group type: No. 122
Spin magnetization in μB/f.u.: 5.01

a = 5.815 Å, b = 5.815 Å, c = 11.633 Å
α = 90.00°, β = 90.00°, γ = 90.00°
Sites, in units of the cell vectors:
V1 0.201 0.250 0.125
V2 0.250 0.701 0.375
V3 0.250 0.799 0.875
V4 0.299 0.250 0.625
V5 0.701 0.750 0.625
V6 0.750 0.201 0.875
V7 0.750 0.299 0.375
V8 0.799 0.750 0.125
Te1 0.000 0.000 0.500
Te2 0.000 0.500 0.750
Te3 0.500 0.000 0.250
Te4 0.500 0.500 0.000
P1 0.000 0.000 0.000
P2 0.000 0.500 0.250
P3 0.500 0.000 0.750
P4 0.500 0.500 0.500

=====

one (2.5 kJ/mol of atoms below the next structure)

=====

one.
V3TeP | PBE-GGA | relaxed

Calculated values
Space-group type: No. 221
Spin magnetization in μB/f.u.: 0.00

a = 4.393 Å, b = 4.393 Å, c = 4.393 Å
α = 90.00°, β = 90.00°, γ = 90.00°
Sites, in units of the cell vectors:
V1 0.000 0.000 0.500
V2 0.000 0.500 0.000
V3 0.500 0.000 0.000
Te1 0.500 0.500 0.500
P1 0.000 0.000 0.000

=====

two.
V3TeP | PBE-GGA | relaxed

Calculated values
Space-group type: No. 221
Spin magnetization in μB/f.u.: 9.93

a = 5.043 Å, b = 5.043 Å, c = 5.043 Å
α = 90.00°, β = 90.00°, γ = 90.00°
Sites, in units of the cell vectors:
V1 0.000 0.000 0.500
V2 0.000 0.500 0.000
V3 0.500 0.000 0.000
Te1 0.000 0.000 0.000
P1 0.500 0.500 0.500

=====

one (111.3 kJ/mol of atoms below the next structure)

=====

one.
TeP3W | PBE-GGA | relaxed

Calculated values
Space-group type: No. 221
Spin magnetization in μB/f.u.: 0.00

a = 4.817 Å, b = 4.817 Å, c = 4.817 Å
α = 90.00°, β = 90.00°, γ = 90.00°
Sites, in units of the cell vectors:
Te1 0.000 0.000 0.000
P1 0.000 0.000 0.500
P2 0.000 0.500 0.000
P3 0.500 0.000 0.000
W1 0.500 0.500 0.500

=====

two.
TeP3W | PBE-GGA | relaxed

Calculated values
Space-group type: No. 221
Spin magnetization in μB/f.u.: 0.00

a = 4.745 Å, b = 4.745 Å, c = 4.745 Å
α = 90.00°, β = 90.00°, γ = 90.00°
Sites, in units of the cell vectors:
Te1 0.000 0.000 0.000
P1 0.000 0.500 0.500
P2 0.500 0.000 0.500
P3 0.500 0.500 0.000
W1 0.500 0.500 0.500

=====

two (154.6 kJ/mol of atoms below the next structure)

=====

one.
Y2TeP | PBE-GGA | relaxed

Calculated values
Space-group type: No. 65
Spin magnetization in μB/f.u.: 0.00

a = 4.644 Å, b = 5.634 Å, c = 7.558 Å
α = 90.00°, β = 90.00°, γ = 90.00°
Sites, in units of the cell vectors:
Y1 0.000 0.000 0.223
Y2 0.000 0.000 0.777
Y3 0.500 0.500 0.223
Y4 0.500 0.500 0.777
Te1 0.000 0.500 0.500
Te2 0.500 0.000 0.500
P1 0.000 0.500 0.000
P2 0.500 0.000 0.000

=====

two.
Y2TeP | PBE-GGA | relaxed

Calculated values
Space-group type: No. 123
Spin magnetization in μB/f.u.: 0.00

a = 4.199 Å, b = 4.199 Å, c = 5.934 Å
α = 90.00°, β = 90.00°, γ = 90.00°
Sites, in units of the cell vectors:
Y1 0.000 0.000 0.000
Y2 0.500 0.500 0.500
Te1 0.000 0.000 0.500
P1 0.500 0.500 0.000

=====

three.
Y2TeP | PBE-GGA | relaxed

Calculated values
Space-group type: No. 225
Spin magnetization in μB/f.u.: 0.64

a = 7.301 Å, b = 7.301 Å, c = 7.301 Å
α = 90.00°, β = 90.00°, γ = 90.00°
Sites, in units of the cell vectors:
Y1 0.250 0.250 0.250
Y2 0.250 0.250 0.750
Y3 0.250 0.750 0.250
Y4 0.250 0.750 0.750
Y5 0.750 0.250 0.250
Y6 0.750 0.250 0.750
Y7 0.750 0.750 0.250
Y8 0.750 0.750 0.750
Te1 0.000 0.000 0.000
Te2 0.000 0.500 0.500
Te3 0.500 0.000 0.500
Te4 0.500 0.500 0.000
P1 0.000 0.000 0.500
P2 0.000 0.500 0.000
P3 0.500 0.000 0.000
P4 0.500 0.500 0.500

=====

two (28.0 kJ/mol of atoms below the next structure)

=====

one.
Y3TeP | PBE-GGA | relaxed

Calculated values
Space-group type: No. 11
Spin magnetization in μB/f.u.: 0.00

a = 6.851 Å, b = 4.166 Å, c = 9.349 Å
α = 90.00°, β = 95.63°, γ = 90.00°
Sites, in units of the cell vectors:
Y1 0.011 0.250 0.159
Y2 0.302 0.750 0.415
Y3 0.483 0.750 0.840
Y4 0.517 0.250 0.160
Y5 0.698 0.250 0.585
Y6 0.989 0.750 0.841
Te1 0.207 0.250 0.654
Te2 0.793 0.750 0.346
P1 0.259 0.750 0.093
P2 0.741 0.250 0.907

=====

two.
Y3TeP | PBE-GGA | relaxed

Calculated values
Space-group type: No. 221
Spin magnetization in μB/f.u.: 0.00

a = 5.273 Å, b = 5.273 Å, c = 5.273 Å
α = 90.00°, β = 90.00°, γ = 90.00°
Sites, in units of the cell vectors:
Y1 0.000 0.000 0.500
Y2 0.000 0.500 0.000
Y3 0.500 0.000 0.000
Te1 0.500 0.500 0.500
P1 0.000 0.000 0.000

=====

one (41.6 kJ/mol of atoms below the next structure)

=====

one.
YTeP3 | PBE-GGA | relaxed

Calculated values
Space-group type: No. 221
Spin magnetization in μB/f.u.: 0.00

a = 5.262 Å, b = 5.262 Å, c = 5.262 Å
α = 90.00°, β = 90.00°, γ = 90.00°
Sites, in units of the cell vectors:
Y1 0.000 0.000 0.000
Te1 0.500 0.500 0.500
P1 0.000 0.000 0.500
P2 0.000 0.500 0.000
P3 0.500 0.000 0.000

=====

two.
YTeP3 | PBE-GGA | relaxed

Calculated values
Space-group type: No. 221
Spin magnetization in μB/f.u.: 0.00

a = 4.984 Å, b = 4.984 Å, c = 4.984 Å
α = 90.00°, β = 90.00°, γ = 90.00°
Sites, in units of the cell vectors:
Y1 0.000 0.000 0.000
Te1 0.500 0.500 0.500
P1 0.000 0.500 0.500
P2 0.500 0.000 0.500
P3 0.500 0.500 0.000

=====

two (28.5 kJ/mol of atoms below the next structure)

=====

one.
YTe3P | PBE-GGA | relaxed

Calculated values
Space-group type: No. 221
Spin magnetization in μB/f.u.: 0.89

a = 5.868 Å, b = 5.868 Å, c = 5.868 Å
α = 90.00°, β = 90.00°, γ = 90.00°
Sites, in units of the cell vectors:
Y1 0.000 0.000 0.000
Te1 0.000 0.000 0.500
Te2 0.000 0.500 0.000
Te3 0.500 0.000 0.000
P1 0.500 0.500 0.500

=====

two.
YTe3P | PBE-GGA | relaxed

Calculated values
Space-group type: No. 221
Spin magnetization in μB/f.u.: 0.00

a = 5.241 Å, b = 5.241 Å, c = 5.241 Å
α = 90.00°, β = 90.00°, γ = 90.00°
Sites, in units of the cell vectors:
Y1 0.000 0.000 0.000
Te1 0.000 0.500 0.500
Te2 0.500 0.000 0.500
Te3 0.500 0.500 0.000
P1 0.500 0.500 0.500

=====

two (54.0 kJ/mol of atoms below the next structure)